Density functional theory data (PBE) for TlHgTe3 after structural relaxation.

Calculated values
- Symmetry: Pm-3m
- E_form (uncorrected): 0.57 eV/atom

Cell lengths 5.8187, 5.8187, 5.8187 Å; angles 90.00, 90.00, 90.00 degrees
Last column: nearest neighbours and their distance in Å.
Element x y z (fractional)
Tl 0.0000 0.0000 0.0000  6 Te 2.91
Te 0.0000 0.5000 0.0000  2 Tl 2.91
Te 0.0000 0.0000 0.5000  2 Tl 2.91
Te 0.5000 0.0000 0.0000  2 Tl 2.91
Hg 0.5000 0.5000 0.5000  12 Te 4.11